## LiAcMg2 (PBE-GGA)

Data for crystalline LiAcMg2 at its relaxed geometry.

## Properties
For the formation energy, the calculation gives 38 meV/atom. The crystal system is cubic. The energy relative to the lowest polymorph listed for this composition is 0.21 eV per formula unit.

Unit cell a=7.7704 b=7.7704 c=7.7704 alpha=90.00 beta=90.00 gamma=90.00
With the nearest neighbours (Å) after each atom.
Space group Fm-3m (No. 225)
Inequivalent atoms, fractional coordinates:
1 Li 0.0000 0.0000 0.0000 x4  8 Mg 3.36
2 Ac 0.0000 0.0000 0.5000 x4  8 Mg 3.36
3 Mg 0.2500 0.2500 0.2500 x8  4 Li 3.36, 4 Ac 3.36

---

## MnWN2 (PBE-GGA)

Data for crystalline MnWN2 at its relaxed geometry.

## Properties
The value obtained for the formation energy from raw total energies is -0.082 eV/atom. The crystal system is tetragonal.

Unit cell a=4.4407 b=4.4407 c=9.0889 alpha=90.00 beta=90.00 gamma=90.00
With the nearest neighbours (Å) after each atom.
Space group I-42d (No. 122)
Inequivalent atoms, fractional coordinates:
1 Mn 0.0000 0.0000 0.0000 x4  4 N 1.88
2 W 0.0000 0.0000 0.5000 x4  4 N 2.00
3 N 0.2274 0.2500 0.1250 x8  2 Mn 1.88, 2 W 2.00

---

## CaTlB3 (PBE-GGA)

Data for crystalline CaTlB3 at its relaxed geometry.

## Properties
For the formation energy, the calculation gives 2399 meV/atom. The crystal system is cubic. The energy relative to the lowest polymorph listed for this composition is 2.41 eV per formula unit.

Unit cell a=4.9520 b=4.9520 c=4.9520 alpha=90.00 beta=90.00 gamma=90.00
With the nearest neighbours (Å) after each atom.
Space group Pm-3m (No. 221)
Inequivalent atoms, fractional coordinates:
1 Ca 0.0000 0.0000 0.0000 x1  6 B 2.48
2 Tl 0.5000 0.5000 0.5000 x1  12 B 3.50
3 B 0.0000 0.0000 0.5000 x3  2 Ca 2.48

---

## Ho2VCu (PBE-GGA)

Data for crystalline Ho2VCu at its relaxed geometry.

## Properties
For the formation energy, the calculation gives 72 meV/atom. The crystal system is tetragonal. The energy relative to the lowest polymorph listed for this composition is 0.00 eV per formula unit.

Unit cell a=3.5409 b=3.5409 c=6.8679 alpha=90.00 beta=90.00 gamma=90.00
With the nearest neighbours (Å) after each atom.
Space group P4/mmm (No. 123)
Inequivalent atoms, fractional coordinates:
1 Ho 0.0000 0.0000 0.2473 x2  4 Cu 3.03, 4 V 3.05
2 V 0.5000 0.5000 0.5000 x1  8 Ho 3.05
3 Cu 0.5000 0.5000 0.0000 x1  8 Ho 3.03

---

| no. | D(E_F) (states/eV per atom) |
| --- | --- |
| 1 | 0.80 |
| 2 | 0.45 |
| 3 | 0.81 |
| 4 | 0.63 |